The following is a PBE calculation of a relaxed structure of LaFeRe2, from Alexandria via LeMat-Bulk.

Cell and atoms, written as CIF:
```
data_LaFeRe2
_symmetry_space_group_name_H-M 'P 1'
_symmetry_Int_Tables_number 1
_symmetry_space_group_name_Hall 'P 1'
_cell_length_a 4.3439
_cell_length_b 4.3439
_cell_length_c 4.4353
_cell_angle_alpha 90.00
_cell_angle_beta 90.00
_cell_angle_gamma 111.12
loop_
_atom_site_label
_atom_site_fract_x
_atom_site_fract_y
_atom_site_fract_z
La1 0.0000 0.0000 0.0000
Fe1 0.5000 0.5000 0.0000
Re1 0.3257 0.6743 0.5000
Re2 0.6743 0.3257 0.5000
```

Output
E above lowest polymorph ... 269 meV per atom
Energy of formation from the pure elements ... 2.01 eV per formula unit
Theoretical density ... 12.1 g cm⁻³